Entry 1:
Here is an optimized crystal structure of Rb2BaIn from the Alexandria database. Energies are from PBE.

Cell: 4.326 4.326 15.607 Å, 82.03 82.03 60.00°
Atoms (fractional coordinates):
In  0.000  0.000  0.000
Ba  0.500  0.500  0.500
Rb  0.079  0.079  0.762
Rb  0.921  0.921  0.238

Summary:
- SG: R-3m, No. 166
- Crystal system: trigonal
- Energy: -1.359 eV/atom
- Calculated volume: 62.43 Å³/atom
- Total magnetization: 0.1 μB/f.u.
- DFT formation energy: 0.29 eV per atom
- Mass density: 2.81 Mg/m³
- Density of states at the Fermi level: 5.44 states/eV per cell

---

Entry 2:
Here is an optimized crystal structure of Tm3ScIr8 from the Alexandria database. Energies are from PBE.

Cell: 5.308 5.308 9.186 Å, 73.21 73.21 60.00°
Atoms (fractional coordinates):
Tm  0.375  0.375  0.874
Tm  0.501  0.501  0.496
Tm  0.999  0.999  0.004
Sc  0.874  0.874  0.377
Ir  0.938  0.439  0.686
Ir  0.938  0.938  0.686
Ir  0.688  0.688  0.937
Ir  0.188  0.188  0.437
Ir  0.437  0.937  0.189
Ir  0.937  0.437  0.189
Ir  0.439  0.938  0.686
Ir  0.437  0.437  0.189

Summary:
- SG: R3m, No. 160
- Crystal system: trigonal
- Energy: -8.362 eV/atom
- Calculated volume: 17.61 Å³/atom
- Total magnetization: 0.0 μB/f.u.
- DFT formation energy: -0.81 eV per atom
- Mass density: 16.42 Mg/m³
- Density of states at the Fermi level: 9.48 states/eV per cell